The following is a DFT calculation (PBE-GGA) of a relaxed Sr2ZrGa crystal.

a = 9.0885 Å, b = 9.0885 Å, c = 6.3020 Å
α = 90.00°, β = 90.00°, γ = 90.00°
Fractional coordinates of all 16 atoms:
Sr (0.2081, 0.2500, 0.1250)
Sr (0.2500, 0.7081, 0.3750)
Sr (0.2500, 0.7919, 0.8750)
Sr (0.2919, 0.2500, 0.6250)
Sr (0.7081, 0.7500, 0.6250)
Sr (0.7500, 0.2081, 0.8750)
Sr (0.7500, 0.2919, 0.3750)
Sr (0.7919, 0.7500, 0.1250)
Zr (0.0000, 0.0000, 0.5000)
Zr (0.0000, 0.5000, 0.7500)
Zr (0.5000, 0.0000, 0.2500)
Zr (0.5000, 0.5000, 0.0000)
Ga (0.0000, 0.0000, 0.0000)
Ga (0.0000, 0.5000, 0.2500)
Ga (0.5000, 0.0000, 0.7500)
Ga (0.5000, 0.5000, 0.5000)

Values from the calculation:
symmetry	I-42d, No. 122
formation energy	0.47	eV per atom